The following is a DFT calculation (PBE) of Ce2TlIr after structural relaxation.

Summary:
Energy of formation ... -0.48 eV/atom
VASP energy ... -6.25 eV per atom
Polymorph energy (0 for the lowest one) ... 0.000 kcal/mol of atoms
Fermi-level density of states ... 9.1 states/eV/f.u.

Cell: 3.344 3.344 8.797 Å, 90.00 90.00 90.00°
Each line ends with the local moment (μB).
Positions (direct):
Ce: 0.000 0.000 0.209  0.53
Ir: 0.500 0.500 0.000  0.00
Tl: 0.500 0.500 0.500  -0.01
Ce: 0.000 0.000 0.791  0.53